(1)
A plane-wave DFT calculation with GGA-PBE was carried out for crystalline ZrScSi2 at its relaxed geometry.

Properties
- E above lowest polymorph: 246.7 meV/atom
- Crystal system: tetragonal
- Formation energy from raw total energies: -2.52 eV per formula unit
- Symmetry: I-4m2
- E: -7.06 eV per atom
- N(E_F): 0.313 states/eV/atom

Structure (POSCAR):
```
ZrScSi2
1.0
-1.950 1.950 4.680
1.950 -1.950 4.680
1.950 1.950 -4.680
Zr Sc Si
1 1 2
Direct
0.000 0.000 0.000
0.750 0.250 0.500
0.250 0.750 0.500
0.500 0.500 0.000
```

(2)
A plane-wave DFT calculation with GGA-PBE was carried out for crystalline Ba3Li2In4 at its relaxed geometry.

Properties
- E above lowest polymorph: 0.0 meV/atom
- Crystal system: triclinic
- Symmetry: P-1
- E: -2.60 eV per atom
- N(E_F): 0.995 states/eV/atom

Structure (POSCAR):
```
Ba3Li2In4
1.0
4.828 0.000 0.000
-2.406 6.434 0.000
-0.024 -1.712 10.121
Ba Li In
3 2 4
Direct
0.000 0.000 0.000
0.389 0.773 0.612
0.611 0.227 0.388
0.315 0.629 0.208
0.685 0.371 0.792
0.107 0.216 0.663
0.276 0.553 0.919
0.724 0.447 0.081
0.893 0.784 0.337
```

(3)
A plane-wave DFT calculation with GGA-PBE was carried out for crystalline Nd6Cu2Sn at its relaxed geometry.

Properties
- Crystal system: orthorhombic
- Symmetry: Immm
- E: -4.77 eV per atom
- N(E_F): 1.019 states/eV/atom

Structure (POSCAR):
```
Nd6Cu2Sn
1.0
-4.762 5.133 5.362
4.762 -5.133 5.362
4.762 5.133 -5.362
Nd Cu Sn
12 4 2
Direct
0.037 0.234 0.803
0.189 0.284 0.473
0.189 0.716 0.905
0.320 0.017 0.697
0.320 0.623 0.303
0.431 0.234 0.197
0.569 0.766 0.803
0.680 0.377 0.697
0.680 0.983 0.303
0.811 0.284 0.095
0.811 0.716 0.527
0.963 0.766 0.197
0.116 0.616 0.500
0.360 0.000 0.360
0.640 0.000 0.640
0.884 0.384 0.500
0.000 0.000 0.000
0.500 0.500 0.000
```

(4)
A plane-wave DFT calculation with GGA-PBE was carried out for crystalline Gd2ErCu at its relaxed geometry.

Properties
- E above lowest polymorph: 491.5 meV/atom
- Crystal system: trigonal
- Symmetry: R-3m
- E: -8.79 eV per atom
- N(E_F): 1.367 states/eV/atom

Structure (POSCAR):
```
Gd2ErCu
1.0
1.721 0.994 11.237
-1.721 0.994 11.237
0.000 -1.988 11.237
Gd Er Cu
2 1 1
Direct
0.083 0.083 0.083
0.917 0.917 0.917
0.500 0.500 0.500
0.000 0.000 0.000
```

(5)
A plane-wave DFT calculation with GGA-PBE was carried out for crystalline Ag2PPt at its relaxed geometry.

Properties
- Crystal system: trigonal
- Symmetry: R3m
- E: -4.29 eV per atom
- N(E_F): 0.488 states/eV/atom

Structure (POSCAR):
```
Ag2PPt
1.0
1.563 0.902 8.417
-1.563 0.902 8.417
0.000 -1.805 8.417
Ag P Pt
2 1 1
Direct
0.000 0.000 0.000
0.242 0.242 0.242
0.482 0.482 0.482
0.757 0.757 0.757
```

(6)
A plane-wave DFT calculation with GGA-PBE was carried out for crystalline Cd5InHg6 at its relaxed geometry.

Properties
- E above lowest polymorph: 0.0 meV/atom
- Crystal system: monoclinic
- Symmetry: C2/m
- E: -0.75 eV per atom
- N(E_F): 0.284 states/eV/atom

Structure (POSCAR):
```
Cd5InHg6
1.0
3.102 -5.566 0.000
3.102 5.566 0.000
-2.081 0.000 8.800
Cd In Hg
5 1 6
Direct
0.000 0.000 0.000
0.169 0.831 0.500
0.338 0.662 0.000
0.662 0.338 0.000
0.831 0.169 0.500
0.500 0.500 0.500
0.075 0.414 0.246
0.241 0.241 0.749
0.414 0.075 0.246
0.586 0.925 0.754
0.759 0.759 0.251
0.925 0.586 0.754
```

(7)
A plane-wave DFT calculation with GGA-PBE was carried out for crystalline CsZnGaSb2 at its relaxed geometry.

Properties
- Crystal system: monoclinic
- Formation energy from raw total energies: -1.29 eV per formula unit
- Symmetry: C2/m
- E: -2.94 eV per atom
- N(E_F): 0.105 states/eV/atom

Structure (POSCAR):
```
CsZnGaSb2
1.0
7.140 -2.235 0.000
7.140 2.235 0.000
-1.726 0.000 11.010
Cs Zn Ga Sb
2 2 2 4
Direct
0.156 0.156 0.169
0.844 0.844 0.831
0.173 0.173 0.583
0.827 0.827 0.417
0.452 0.452 0.322
0.548 0.548 0.678
0.115 0.115 0.806
0.368 0.368 0.553
0.632 0.632 0.447
0.885 0.885 0.194
```

(8)
A plane-wave DFT calculation with GGA-PBE was carried out for crystalline LiIn2Cl4 at its relaxed geometry.

Properties
- Crystal system: tetragonal
- Formation energy from raw total energies: -7.03 eV per formula unit
- Symmetry: I4/mmm
- E: -3.12 eV per atom
- N(E_F): 0.627 states/eV/atom

Structure (POSCAR):
```
LiIn2Cl4
1.0
-2.462 2.462 7.261
2.462 -2.462 7.261
2.462 2.462 -7.261
Li In Cl
1 2 4
Direct
0.000 0.000 0.000
0.368 0.368 0.000
0.632 0.632 0.000
0.000 0.500 0.500
0.182 0.182 0.000
0.500 0.000 0.500
0.818 0.818 0.000
```

(9)
A plane-wave DFT calculation with GGA-PBE was carried out for crystalline Cs2ScVS4 at its relaxed geometry.

Properties
- Crystal system: orthorhombic
- Formation energy from raw total energies: -10.44 eV per formula unit
- Symmetry: Fddd
- E: -5.51 eV per atom
- N(E_F): 0.648 states/eV/atom

Structure (POSCAR):
```
Cs2ScVS4
1.0
0.000 7.149 12.718
3.049 0.000 12.718
3.049 7.149 0.000
Cs Sc V S
4 2 2 8
Direct
0.052 0.052 0.698
0.302 0.302 0.948
0.698 0.698 0.052
0.948 0.948 0.302
0.125 0.125 0.125
0.875 0.875 0.875
0.375 0.375 0.375
0.625 0.625 0.625
0.004 0.649 0.562
0.285 0.562 0.649
0.351 0.996 0.715
0.438 0.715 0.996
0.562 0.285 0.004
0.649 0.004 0.285
0.715 0.438 0.351
0.996 0.351 0.438
```

(10)
A plane-wave DFT calculation with GGA-PBE was carried out for crystalline Pa4Ni2N at its relaxed geometry.

Properties
- Crystal system: tetragonal
- Formation energy from raw total energies: -2.59 eV per formula unit
- Symmetry: I4/mmm
- E: -8.64 eV per atom
- N(E_F): 1.434 states/eV/atom

Structure (POSCAR):
```
Pa4Ni2N
1.0
-2.322 2.322 6.638
2.322 -2.322 6.638
2.322 2.322 -6.638
Pa Ni N
4 2 1
Direct
0.000 0.500 0.500
0.182 0.182 0.000
0.500 0.000 0.500
0.818 0.818 0.000
0.359 0.359 0.000
0.641 0.641 0.000
0.000 0.000 0.000
```

(11)
A plane-wave DFT calculation with GGA-PBE was carried out for crystalline TbDy2Ag at its relaxed geometry.

Properties
- E above lowest polymorph: 62.5 meV/atom
- Crystal system: orthorhombic
- Symmetry: Cmcm
- E: -4.24 eV per atom
- N(E_F): 1.219 states/eV/atom

Structure (POSCAR):
```
TbDy2Ag
1.0
2.408 -5.738 0.000
2.408 5.738 0.000
0.000 0.000 8.364
Tb Dy Ag
2 4 2
Direct
0.051 0.949 0.750
0.949 0.051 0.250
0.357 0.643 0.544
0.357 0.643 0.956
0.643 0.357 0.044
0.643 0.357 0.456
0.221 0.779 0.250
0.779 0.221 0.750
```

(12)
A plane-wave DFT calculation with GGA-PBE was carried out for crystalline TmTlCdBr6 at its relaxed geometry.

Properties
- Crystal system: trigonal
- Formation energy from raw total energies: -11.79 eV per formula unit
- Symmetry: P-31c
- E: -3.29 eV per atom
- N(E_F): 0.000 states/eV/atom

Structure (POSCAR):
```
TmTlCdBr6
1.0
7.250 0.000 0.000
-3.625 6.279 0.000
0.000 0.000 14.610
Tm Tl Cd Br
2 2 2 12
Direct
0.333 0.667 0.250
0.667 0.333 0.750
0.000 0.000 0.000
0.000 0.000 0.500
0.333 0.667 0.750
0.667 0.333 0.250
0.004 0.373 0.140
0.004 0.631 0.360
0.369 0.373 0.360
0.369 0.996 0.140
0.373 0.004 0.640
0.373 0.369 0.860
0.627 0.631 0.140
0.627 0.996 0.360
0.631 0.004 0.860
0.631 0.627 0.640
0.996 0.369 0.640
0.996 0.627 0.860
```

Look up the E of the sixth one. -0.75 eV per atom